Li2ZnP: relaxed, PBE-GGA.

The structure in extended XYZ format:
```
16
Lattice="4.086 0.000 0.000 -2.043 3.539 0.000 0.000 0.000 16.640" Properties=species:S:1:pos:R:3 pbc="T T T"
Li 0.000 2.359 0.464
Li 0.000 2.359 3.382
Li 0.000 2.359 9.039
Li 0.000 2.359 11.905
Li 2.043 1.180 4.735
Li 2.043 1.180 7.601
Li 2.043 1.180 13.258
Li 2.043 1.180 16.176
Zn 0.000 0.000 1.344
Zn 0.000 0.000 5.732
Zn 0.000 0.000 10.908
Zn 0.000 0.000 15.296
P 0.000 2.359 6.451
P 0.000 2.359 14.440
P 2.043 1.180 2.200
P 2.043 1.180 10.189
```

Properties
The calculation puts the density of states at the Fermi level at 0.98 states/eV/f.u. The value obtained for the formation energy from the elements is -0.393 eV/atom. The value obtained for the theoretical density is 3.0 Mg/m³.